A plane-wave DFT calculation with PBE-GGA was carried out for B2PdRh3 after structural relaxation.

a b c (Å): 3.272 6.368 7.946
angles (deg): 70.26 78.12 75.11
Sites, in units of the cell vectors:
B: 0.882 0.307 0.929
B: 0.118 0.693 0.071
B: 0.631 0.101 0.636
B: 0.369 0.899 0.364
Pd: 0.436 0.427 0.701
Pd: 0.564 0.573 0.299
Rh: 0.071 0.040 0.818
Rh: 0.929 0.960 0.182
Rh: 0.709 0.670 0.912
Rh: 0.291 0.330 0.088
Rh: 0.821 0.810 0.548
Rh: 0.179 0.190 0.452

V   149 Å³/cell
Energy of formation   -0.264 eV/atom
Magnetization   0.000 Bohr magnetons per cell



A plane-wave DFT calculation with PBE-GGA was carried out for BPdRh2 after structural relaxation.

a b c (Å): 2.847 6.087 6.056
angles (deg): 94.31 90.01 90.00
Sites, in units of the cell vectors:
B: 0.006 0.326 0.192
B: 0.506 0.778 0.410
Pd: 0.007 0.346 0.829
Pd: 0.507 0.759 0.774
Rh: 0.006 0.024 0.495
Rh: 0.506 0.081 0.107
Rh: 0.006 0.676 0.159
Rh: 0.506 0.428 0.443

V   105 Å³/cell
Energy of formation   -0.131 eV/atom
Magnetization   0.000 Bohr magnetons per cell



A plane-wave DFT calculation with PBE-GGA was carried out for BPdRh2 after structural relaxation.

a b c (Å): 6.605 6.605 5.265
angles (deg): 51.15 51.15 90.00
Sites, in units of the cell vectors:
B: 0.500 0.500 0.000
B: 0.250 0.750 0.500
Rh: 0.540 0.125 0.250
Rh: 0.210 0.625 0.250
Rh: 0.375 0.460 0.750
Rh: 0.875 0.790 0.750
Pd: 0.000 0.000 0.000
Pd: 0.750 0.250 0.500

V   106 Å³/cell
Energy of formation   -0.025 eV/atom
Magnetization   0.000 Bohr magnetons per cell